(1)
The following is a DFT calculation (PBE) of crystalline ThSe2O6 at its relaxed geometry.

Its total magnetization is 0.000 μB per formula unit. As for the calculated volume: 585 Å³ per cell. Its formation energy without anion corrections is -1844 meV per atom. The value obtained for the raw total energy is -6.75 eV/atom.

It has space group P2_1/c (No. 14), with a = 7.271 Å, b = 11.024 Å, c = 8.966 Å, α = 90.00°, β = 125.50° and γ = 90.00°. Symmetry generates all atoms from Th at (0.247, 0.097, 0.488), Se at (0.188, 0.714, 0.925), Se at (0.285, 0.072, 0.076), O at (0.009, 0.600, 0.915), O at (0.052, 0.746, 0.201), O at (0.158, 0.088, 0.190), O at (0.385, 0.606, 0.956), O at (0.406, 0.215, 0.117) and O at (0.479, 0.017, 0.782).



(2)
The following is a DFT calculation (PBE) of crystalline SmZrS4 at its relaxed geometry.

Its total magnetization is 0.000 μB per formula unit. As for the calculated volume: 525 Å³ per cell. Its formation energy without anion corrections is -1459 meV per atom. The value obtained for the raw total energy is -6.42 eV/atom.

It has space group C2/c (No. 15), with a = 8.819 Å, b = 11.404 Å, c = 6.504 Å, α = 90.00°, β = 126.62° and γ = 90.00°. Symmetry generates all atoms from Sm at (0.000, 0.132, 0.250), Zr at (0.000, 0.494, 0.750), S at (0.128, 0.329, 0.599) and S at (0.216, 0.064, 0.775).